No. 1
A geometry-optimized Sr2CuTe2 structure. Source: Alexandria, functional GGA-PBE.

Output
E_form (uncorrected): -864 meV/atom
SG: P4/mbm (127)
calculated total energy: -3.613 eV/atom

a b c (Å): 8.6678 8.6678 4.3250
angles (deg): 90.00 90.00 90.00
With the nearest neighbours (Å) after each atom.
Atoms (fractional coordinates):
Sr 0.1523 0.6523 0.5000  6 Te 3.18-3.45
Sr 0.6523 0.8477 0.5000  6 Te 3.18-3.45
Sr 0.8477 0.3477 0.5000  6 Te 3.18-3.45
Sr 0.3477 0.1523 0.5000  6 Te 3.18-3.45
Te 0.3426 0.8426 0.0000  6 Sr 3.18-3.45, 2 Cu 3.27
Te 0.8426 0.6574 0.0000  6 Sr 3.18-3.45, 2 Cu 3.27
Te 0.6574 0.1574 0.0000  6 Sr 3.18-3.45, 2 Cu 3.27
Te 0.1574 0.3426 0.0000  6 Sr 3.18-3.45, 2 Cu 3.27
Cu 0.0000 0.0000 0.0000  4 Te 3.27
Cu 0.5000 0.5000 0.0000  4 Te 3.27

No. 2
A geometry-optimized LiZn4Sn4O8 structure. Source: Alexandria, functional GGA-PBE.

Output
E_form (uncorrected): -1228 meV/atom
SG: P-1 (2)
calculated total energy: -4.916 eV/atom

a b c (Å): 3.3713 9.0371 8.9362
angles (deg): 80.45 79.26 79.56
With the nearest neighbours (Å) after each atom.
Atoms (fractional coordinates):
Li 0.0000 0.0000 0.5000  2 O 2.08
Zn 0.6631 0.9292 0.2462  4 O 1.97-2.07
Zn 0.3369 0.0708 0.7538  4 O 1.97-2.07
Zn 0.0704 0.2369 0.1323  4 O 1.94-2.13
Zn 0.9296 0.7631 0.8677  4 O 1.94-2.13
Sn 0.1498 0.6634 0.5426  2 O 2.18-2.19
Sn 0.3612 0.6081 0.1631  4 O 2.17-2.37
Sn 0.6388 0.3919 0.8369  4 O 2.17-2.37
Sn 0.8502 0.3366 0.4574  2 O 2.18-2.19
O 0.3854 0.1885 0.5330  1 Zn 2.07, 2 Sn 2.18-2.19
O 0.4678 0.6371 0.9137  2 Zn 2.03, 1 Sn 2.17
O 0.5322 0.3629 0.0863  2 Zn 2.03, 1 Sn 2.17
O 0.6146 0.8115 0.4670  1 Zn 2.07, 2 Sn 2.18-2.19
O 0.8988 0.9585 0.7392  3 Zn 1.94-1.97, 1 Li 2.08
O 0.8088 0.7669 0.1095  2 Zn 2.00-2.13, 2 Sn 2.20-2.21
O 0.1012 0.0415 0.2608  3 Zn 1.94-1.97, 1 Li 2.08
O 0.1912 0.2331 0.8905  2 Zn 2.00-2.13, 2 Sn 2.20-2.21

No. 3
A geometry-optimized K4Tb3ThTe8 structure. Source: Alexandria, functional GGA-PBE.

Output
E_form (uncorrected): -1342 meV/atom
SG: R-3m (166)
calculated total energy: -4.520 eV/atom

a b c (Å): 9.0017 9.7909 9.0024
angles (deg): 117.41 120.00 90.00
With the nearest neighbours (Å) after each atom.
Atoms (fractional coordinates):
K 0.5000 0.0000 0.0000  6 Te 3.50-3.51
K 0.5000 0.0000 0.5000  6 Te 3.53-3.54
K 0.0000 0.0000 0.0000  6 Te 3.53-3.54
K 0.0000 0.0000 0.5000  6 Te 3.53-3.54
Tb 0.5000 0.5000 0.0000  6 Te 3.13
Tb 0.5000 0.5000 0.5000  6 Te 3.13
Tb 0.0000 0.5000 0.5000  6 Te 3.13
Th 0.0000 0.5000 0.0000  6 Te 3.16
Te 0.2393 0.7132 0.9743  2 Tb 3.13, 1 Th 3.16, 1 K 3.51
Te 0.2392 0.7131 0.4784  2 Tb 3.13, 1 Th 3.16, 1 K 3.50
Te 0.2633 0.2902 0.5266  3 Tb 3.13
Te 0.7350 0.7132 0.9743  2 Tb 3.13, 1 Th 3.16, 1 K 3.51
Te 0.2650 0.2868 0.0257  2 Tb 3.13, 1 Th 3.16, 1 K 3.51
Te 0.7367 0.7098 0.4734  3 Tb 3.13
Te 0.7608 0.2869 0.5216  2 Tb 3.13, 1 Th 3.16, 1 K 3.50
Te 0.7607 0.2868 0.0257  2 Tb 3.13, 1 Th 3.16, 1 K 3.51

No. 4
A geometry-optimized PmScSiAg structure. Source: Alexandria, functional GGA-PBE.

Output
E_form (uncorrected): -400 meV/atom
SG: F-43m (216)
calculated total energy: -5.239 eV/atom

a b c (Å): 4.9816 4.9816 4.9816
angles (deg): 60.00 60.00 60.00
With the nearest neighbours (Å) after each atom.
Atoms (fractional coordinates):
Sc 0.5000 0.5000 0.5000  4 Ag 3.05, 4 Si 3.05
Si 0.7500 0.7500 0.7500  4 Pm 3.05, 4 Sc 3.05
Ag 0.2500 0.2500 0.2500  4 Sc 3.05, 4 Pm 3.05
Pm 0.0000 0.0000 0.0000  4 Si 3.05, 4 Ag 3.05

No. 5
A geometry-optimized NdDy3Er6 structure. Source: Alexandria, functional GGA-PBE.

Output
SG: Cmc2_1 (36)
calculated total energy: -4.446 eV/atom
formation energy: 0.149 eV per atom

a b c (Å): 6.1588 10.8957 10.8957
angles (deg): 119.61 90.00 90.00
With the nearest neighbours (Å) after each atom.
Atoms (fractional coordinates):
Nd 0.1584 0.2082 0.7918  7 Er 3.25-3.52, 3 Dy 3.25-3.49
Nd 0.6584 0.7918 0.2082  7 Er 3.25-3.52, 3 Dy 3.25-3.49
Dy 0.4576 0.9342 0.7176  1 Nd 3.25, 6 Er 3.26-3.60, 1 Dy 3.64
Dy 0.9576 0.7176 0.9342  1 Nd 3.25, 6 Er 3.26-3.60, 1 Dy 3.64
Dy 0.0714 0.3911 0.6089  5 Er 3.30-3.54, 1 Nd 3.49, 2 Dy 3.64
Dy 0.5714 0.6089 0.3911  5 Er 3.30-3.54, 1 Nd 3.49, 2 Dy 3.64
Dy 0.9576 0.0658 0.2824  1 Nd 3.25, 6 Er 3.26-3.60, 1 Dy 3.64
Dy 0.4576 0.2824 0.0658  1 Nd 3.25, 6 Er 3.26-3.60, 1 Dy 3.64
Er 0.0279 0.7124 0.6178  4 Dy 3.38-3.54, 6 Er 3.38-3.73
Er 0.5279 0.6178 0.7124  4 Dy 3.38-3.54, 6 Er 3.38-3.73
Er 0.3644 0.5430 0.9647  2 Nd 3.25-3.42, 5 Er 3.26-3.41, 2 Dy 3.26-3.56
Er 0.8644 0.9647 0.5430  2 Nd 3.25-3.42, 5 Er 3.26-3.41, 2 Dy 3.26-3.56
Er 0.4159 0.9526 0.0474  1 Nd 3.38, 4 Dy 3.51-3.60, 4 Er 3.56-3.73
Er 0.6401 0.2871 0.7129  4 Er 3.26-3.35, 1 Dy 3.30, 2 Nd 3.32-3.52
Er 0.1401 0.7129 0.2871  4 Er 3.26-3.35, 1 Dy 3.30, 2 Nd 3.32-3.52
Er 0.9159 0.0474 0.9526  1 Nd 3.38, 4 Dy 3.51-3.60, 4 Er 3.56-3.73
Er 0.3644 0.0353 0.4570  2 Nd 3.25-3.42, 5 Er 3.26-3.41, 2 Dy 3.26-3.56
Er 0.8644 0.4570 0.0353  2 Nd 3.25-3.42, 5 Er 3.26-3.41, 2 Dy 3.26-3.56
Er 0.0279 0.3822 0.2876  4 Dy 3.38-3.54, 6 Er 3.38-3.73
Er 0.5279 0.2876 0.3822  4 Dy 3.38-3.54, 6 Er 3.38-3.73

No. 6
A geometry-optimized Pu2TlSn structure. Source: Alexandria, functional GGA-PBE.

Output
SG: Fm-3m (225)
calculated total energy: -8.891 eV/atom
formation energy: -0.133 eV per atom

a b c (Å): 5.3740 5.3740 5.3740
angles (deg): 60.00 60.00 60.00
With the nearest neighbours (Å) after each atom.
Atoms (fractional coordinates):
Tl 0.5000 0.5000 0.5000  8 Pu 3.29
Sn 0.0000 0.0000 0.0000  8 Pu 3.29
Pu 0.2500 0.2500 0.2500  4 Tl 3.29, 4 Sn 3.29
Pu 0.7500 0.7500 0.7500  4 Sn 3.29, 4 Tl 3.29

No. 7
A geometry-optimized HoErPu4 structure. Source: Alexandria, functional GGA-PBE.

Output
SG: F-43m (216)
calculated total energy: -10.850 eV/atom
formation energy: 0.228 eV per atom

a b c (Å): 6.1441 6.1441 6.1441
angles (deg): 60.00 60.00 60.00
With the nearest neighbours (Å) after each atom.
Atoms (fractional coordinates):
Er 0.2500 0.2500 0.2500  12 Pu 3.60, 4 Ho 3.76
Ho 0.0000 0.0000 0.0000  12 Pu 3.60, 4 Er 3.76
Pu 0.6250 0.6250 0.1251  6 Pu 3.07
Pu 0.6250 0.1251 0.6250  6 Pu 3.07
Pu 0.6250 0.6250 0.6250  6 Pu 3.07
Pu 0.1251 0.6250 0.6250  6 Pu 3.07

No. 8
A geometry-optimized K3Np3SbSe8 structure. Source: Alexandria, functional GGA-PBE.

Output
E_form (uncorrected): -1097 meV/atom
SG: R-3m (166)
calculated total energy: -6.038 eV/atom

a b c (Å): 8.4841 8.4841 9.1383
angles (deg): 117.67 90.00 120.00
With the nearest neighbours (Å) after each atom.
Atoms (fractional coordinates):
K 0.0000 0.0000 0.0000  6 Se 3.35-3.37
K 0.0000 0.5000 0.0000  6 Se 3.35-3.38
K 0.5000 0.5000 0.0000  6 Se 3.35-3.38
Np 0.5000 0.0000 0.5000  6 Se 2.89-2.91
Np 0.5000 0.5000 0.5000  6 Se 2.89-2.91
Np 0.0000 0.5000 0.5000  6 Se 2.89-2.91
Sb 0.0000 0.0000 0.5000  6 Se 2.91
Se 0.2653 0.5306 0.2960  3 Np 2.91
Se 0.7347 0.4694 0.7040  3 Np 2.91
Se 0.7652 0.5304 0.2997  2 Np 2.89, 1 Sb 2.91
Se 0.2348 0.4696 0.7003  2 Np 2.89, 1 Sb 2.91
Se 0.7653 0.0344 0.2997  2 Np 2.89, 1 Sb 2.91
Se 0.2347 0.9656 0.7003  2 Np 2.89, 1 Sb 2.91
Se 0.2691 0.0344 0.2997  2 Np 2.89, 1 Sb 2.91
Se 0.7309 0.9656 0.7003  2 Np 2.89, 1 Sb 2.91

No. 9
A geometry-optimized Nb5Ge2Sb structure. Source: Alexandria, functional GGA-PBE.

Output
E_form (uncorrected): -409 meV/atom
SG: I4/mcm (140)
calculated total energy: -8.373 eV/atom

a b c (Å): 6.8569 6.8569 7.7861
angles (deg): 116.12 116.12 90.00
With the nearest neighbours (Å) after each atom.
Atoms (fractional coordinates):
Nb 0.5101 0.6952 0.7053  3 Ge 2.67-2.71, 2 Sb 2.87
Nb 0.8048 0.9899 0.2947  3 Ge 2.67-2.71, 2 Sb 2.87
Nb 0.0000 0.0000 0.0000  4 Ge 2.66
Nb 0.5000 0.5000 0.0000  4 Ge 2.66
Nb 0.1952 0.0101 0.7053  3 Ge 2.67-2.71, 2 Sb 2.87
Nb 0.6952 0.1952 0.7053  3 Ge 2.67-2.71, 2 Sb 2.87
Nb 0.0101 0.5101 0.7053  3 Ge 2.67-2.71, 2 Sb 2.87
Nb 0.3048 0.8048 0.2947  3 Ge 2.67-2.71, 2 Sb 2.87
Nb 0.9899 0.4899 0.2947  3 Ge 2.67-2.71, 2 Sb 2.87
Nb 0.4899 0.3048 0.2947  3 Ge 2.67-2.71, 2 Sb 2.87
Ge 0.1382 0.3618 0.0000  8 Nb 2.66-2.71, 1 Ge 2.68
Ge 0.6382 0.1382 0.0000  8 Nb 2.66-2.71, 1 Ge 2.68
Ge 0.3618 0.8618 0.0000  8 Nb 2.66-2.71, 1 Ge 2.68
Ge 0.8618 0.6382 0.0000  8 Nb 2.66-2.71, 1 Ge 2.68
Sb 0.7500 0.7500 0.5000  10 Nb 2.87-3.05
Sb 0.2500 0.2500 0.5000  10 Nb 2.87-3.05

No. 10
A geometry-optimized SmTlBi2 structure. Source: Alexandria, functional GGA-PBE.

Output
SG: R3m (160)
calculated total energy: -3.962 eV/atom
formation energy: -0.250 eV per atom

a b c (Å): 5.1983 5.1983 6.8020
angles (deg): 67.54 67.54 60.00
With the nearest neighbours (Å) after each atom.
Atoms (fractional coordinates):
Sm 0.6704 0.6704 0.9888  1 Tl 3.29, 6 Bi 3.32-3.34
Tl 0.4906 0.4906 0.5281  1 Sm 3.29, 6 Bi 3.31-3.52
Bi 0.0815 0.0815 0.7554  1 Bi 3.22, 3 Tl 3.31, 3 Sm 3.32
Bi 0.2575 0.2575 0.2276  1 Bi 3.22, 3 Sm 3.34, 3 Tl 3.52

Calculated D(E_F) in order - 0.51; 0.15; 0.31; 0.94; 1.37; 4.52; 4.60; 1.83; 0.65; 0.38 states/eV per atom